1.
The following is a PBE calculation of Cd2Ni after structural relaxation, from Alexandria via LeMat-Bulk.

abc: 2.971 2.971 24.853
angles: 90.00 90.00 90.00
Space group I4_1/amd (No. 141, origin choice 2)
Asymmetric unit:
Cd1 0.000 0.250 0.304 (multiplicity 8)
Ni1 0.000 0.250 0.875 (multiplicity 4)

Electronic total energy = -2.47 eV per atom
ΔH_f (0 K) = 0.071 eV/atom

=====

2.
The following is a PBE calculation of Cd6Ni7 after structural relaxation, from Alexandria via LeMat-Bulk.

abc: 5.0294 5.0294 26.9290
angles: 90.00 90.00 120.00
Space group R-3m (No. 166, hexagonal axes)
Asymmetric unit:
Cd1 0.0000 0.0000 0.0525 (multiplicity 6)
Cd2 0.0000 0.0000 0.1558 (multiplicity 6)
Cd3 0.0000 0.0000 0.3336 (multiplicity 6)
Ni1 0.0000 0.0000 0.5000 (multiplicity 3)
Ni2 0.0012 0.5006 0.0910 (multiplicity 18)

Electronic total energy = -3.49 eV per atom
ΔH_f (0 K) = 0.044 eV/atom